(1)
Computed, not measured: VNiHg2 after structural relaxation at the PBE level of DFT.

Cell: 7.412 7.412 5.951 Å, 51.48 51.48 90.00°
Fractional coordinates of all 8 atoms:
Hg 0.875 0.904 0.750
V 0.500 0.500 0.000
Hg 0.375 0.346 0.750
Hg 0.654 0.125 0.250
V 0.250 0.750 0.500
Ni 0.750 0.250 0.500
Ni 0.000 0.000 0.000
Hg 0.096 0.625 0.250

Values from the calculation:
- formation enthalpy at 0 K (eV per atom) = 0.638
- total moment (μB per atom) = 0.837
- SG = No. 122

***

(2)
Computed, not measured: V2Ni2Hg after structural relaxation at the PBE level of DFT.

Cell: 7.115 7.115 2.732 Å, 90.00 90.00 90.00°
Fractional coordinates of all 10 atoms:
Ni 0.123 0.377 0.000
Hg 0.000 0.000 0.000
V 0.832 0.332 0.500
Ni 0.877 0.623 0.000
V 0.332 0.168 0.500
Hg 0.500 0.500 0.000
V 0.668 0.832 0.500
Ni 0.377 0.877 0.000
Ni 0.623 0.123 0.000
V 0.168 0.668 0.500

Values from the calculation:
- energy above the lowest structure with this stoichiometry (eV per atom) = 0.0000
- formation enthalpy at 0 K (eV per atom) = 0.061
- total moment (μB per atom) = 0.000
- SG = No. 127

***

(3)
Computed, not measured: VNiHg after structural relaxation at the PBE level of DFT.

Cell: 4.181 10.229 4.234 Å, 90.00 90.00 90.00°
Fractional coordinates of all 12 atoms:
Hg 0.000 0.749 0.250
Ni 0.000 0.069 0.250
Hg 0.000 0.251 0.750
Ni 0.500 0.431 0.750
V 0.000 0.550 0.750
V 0.500 0.050 0.750
Ni 0.500 0.569 0.250
Ni 0.000 0.931 0.750
Hg 0.500 0.751 0.750
V 0.000 0.450 0.250
V 0.500 0.950 0.250
Hg 0.500 0.249 0.250

Values from the calculation:
- energy above the lowest structure with this stoichiometry (eV per atom) = 0.0207
- formation enthalpy at 0 K (eV per atom) = 0.184
- total moment (μB per atom) = 0.000
- SG = No. 63

***

(4)
Computed, not measured: VNiHg after structural relaxation at the PBE level of DFT.

Cell: 2.892 2.892 10.971 Å, 90.00 90.00 90.00°
Fractional coordinates of all 6 atoms:
Ni 0.500 0.500 0.495
V 0.000 0.000 0.620
Ni 0.000 0.000 0.995
V 0.500 0.500 0.120
Hg 0.500 0.500 0.816
Hg 0.000 0.000 0.316

Values from the calculation:
- energy above the lowest structure with this stoichiometry (eV per atom) = 0.0156
- formation enthalpy at 0 K (eV per atom) = 0.179
- total moment (μB per atom) = 0.379
- SG = No. 107

***

(5)
Computed, not measured: VNiHg after structural relaxation at the PBE level of DFT.

Cell: 5.893 3.021 10.670 Å, 90.00 106.73 90.00°
Fractional coordinates of all 12 atoms:
Ni 0.849 0.000 0.680
Ni 0.151 0.500 0.820
V 0.340 0.000 0.699
Ni 0.849 0.500 0.180
Hg 0.000 0.000 0.000
V 0.660 0.500 0.801
V 0.660 0.000 0.301
Hg 0.500 0.000 0.000
Hg 0.500 0.500 0.500
Ni 0.151 0.000 0.320
Hg 0.000 0.500 0.500
V 0.340 0.500 0.199

Values from the calculation:
- energy above the lowest structure with this stoichiometry (eV per atom) = 0.0279
- formation enthalpy at 0 K (eV per atom) = 0.191
- total moment (μB per atom) = 0.000
- SG = No. 12

***

(6)
Computed, not measured: VNiHg3 after structural relaxation at the PBE level of DFT.

Cell: 4.920 4.920 4.920 Å, 90.00 90.00 90.00°
Fractional coordinates of all 5 atoms:
Hg 0.000 0.500 0.000
Hg 0.500 0.000 0.000
Ni 0.000 0.000 0.000
Hg 0.000 0.000 0.500
V 0.500 0.500 0.500

Values from the calculation:
- energy above the lowest structure with this stoichiometry (eV per atom) = 0.0000
- formation enthalpy at 0 K (eV per atom) = 0.680
- total moment (μB per atom) = 0.785
- SG = No. 221